Entry 1:
VASP calculation (PBE) on a relaxed structure of AgPb2Br.

The calculation puts the energy at -11.624 eV per formula unit. For the energy above the most stable polymorph in this dataset, the calculation gives 0.214 eV/atom. The formation energy from raw total energies comes out at 79.3 meV per atom. Its crystal system is tetragonal. Its theoretical density is 7.99 Mg/m³.

The space group is I-42d (No. 122) and the conventional cell measures 4.9196, 4.9196 and 20.6803 Å, with angles of 90.00, 90.00 and 90.00 degrees. The distinct sites, in fractional coordinates, are Ag at (0.0000, 0.0000, 0.0000), Pb at (0.2405, 0.2500, 0.6250) and Br at (0.0000, 0.0000, 0.5000).



Entry 2:
VASP calculation (PBE) on a relaxed structure of K2RbZnH5.

The calculation puts the energy at -23.373 eV per formula unit. Its crystal system is tetragonal. Its theoretical density is 2.39 Mg/m³.

The space group is I4/mcm (No. 140) and the conventional cell measures 7.5604, 7.5604 and 11.4006 Å, with angles of 90.00, 90.00 and 90.00 degrees. The distinct sites, in fractional coordinates, are K at (0.1793, 0.3207, 0.0000), Rb at (0.0000, 0.0000, 0.2500), Zn at (0.0000, 0.5000, 0.2500), H at (0.0000, 0.0000, 0.0000) and H at (0.1243, 0.3757, 0.3383).



Entry 3:
VASP calculation (PBE) on a relaxed structure of Rb3Ag12O5.

The calculation puts the energy at -61.825 eV per formula unit. The formation energy from raw total energies comes out at 4.2 meV per atom. Its crystal system is cubic. Its theoretical density is 5.32 Mg/m³.

The space group is Ia-3d (No. 230) and the conventional cell measures 15.9720, 15.9720 and 15.9720 Å, with angles of 90.00, 90.00 and 90.00 degrees. The distinct sites, in fractional coordinates, are Rb at (0.0000, 0.2500, 0.1250), Ag at (0.0347, 0.1242, 0.9161), O at (0.0000, 0.0000, 0.0000) and O at (0.0000, 0.2500, 0.3750).



Entry 4:
VASP calculation (PBE) on a relaxed structure of LaPm3Er6.

The calculation puts the energy at -43.568 eV per formula unit. For the energy above the most stable polymorph in this dataset, the calculation gives 0.173 eV/atom. Its crystal system is trigonal. Its theoretical density is 7.96 Mg/m³.

The space group is R3 (No. 146, hexagonal axes) and the conventional cell measures 9.9128, 9.9128 and 11.5958 Å, with angles of 90.00, 90.00 and 120.00 degrees. The distinct sites, in fractional coordinates, are La at (0.0000, 0.0000, 0.0000), Pm at (0.0000, 0.0000, 0.2514), Pm at (0.0000, 0.0000, 0.5000), Pm at (0.0000, 0.0000, 0.7487), Er at (0.9999, 0.3298, 0.9996) and Er at (0.0000, 0.6740, 0.4995).



Entry 5:
VASP calculation (PBE) on a relaxed structure of Ac10Pm4Sm.

The calculation puts the energy at -56.051 eV per formula unit. Its crystal system is tetragonal. Its theoretical density is 6.92 Mg/m³.

The space group is I4/m (No. 87) and the conventional cell measures 13.1659, 13.1659 and 8.3062 Å, with angles of 90.00, 90.00 and 90.00 degrees. The distinct sites, in fractional coordinates, are Ac at (0.0000, 0.5000, 0.2500), Ac at (0.0998, 0.2000, 0.2502), Pm at (0.1000, 0.7000, 0.0000) and Sm at (0.0000, 0.0000, 0.5000).



Entry 6:
VASP calculation (PBE) on a relaxed structure of SmErMgOs.

The calculation puts the energy at -22.768 eV per formula unit. For the energy above the most stable polymorph in this dataset, the calculation gives 0.000 eV/atom. Its crystal system is tetragonal. Its theoretical density is 8.85 Mg/m³.

The space group is P4mm (No. 99) and the conventional cell measures 3.4093, 3.4093 and 8.5894 Å, with angles of 90.00, 90.00 and 90.00 degrees. The distinct sites, in fractional coordinates, are Sm at (0.0000, 0.0000, 0.0000), Er at (0.0000, 0.0000, 0.6090), Mg at (0.5000, 0.5000, 0.3123) and Os at (0.5000, 0.5000, 0.7963).



Entry 7:
VASP calculation (PBE) on a relaxed structure of GdLuSn2.

The calculation puts the energy at -28.925 eV per formula unit. For the energy above the most stable polymorph in this dataset, the calculation gives 0.024 eV/atom. Its crystal system is tetragonal. Its theoretical density is 8.90 Mg/m³.

The space group is P4/mmm (No. 123) and the conventional cell measures 3.9760, 3.9760 and 6.7197 Å, with angles of 90.00, 90.00 and 90.00 degrees. The distinct sites, in fractional coordinates, are Gd at (0.0000, 0.0000, 0.0000), Lu at (0.0000, 0.0000, 0.5000) and Sn at (0.5000, 0.5000, 0.2651).



Entry 8:
VASP calculation (PBE) on a relaxed structure of KMgAs2.

The calculation puts the energy at -12.147 eV per formula unit. Its crystal system is tetragonal. Its theoretical density is 3.83 Mg/m³.

The space group is P4/mmm (No. 123) and the conventional cell measures 4.6118, 4.6118 and 4.3416 Å, with angles of 90.00, 90.00 and 90.00 degrees. The distinct sites, in fractional coordinates, are K at (0.0000, 0.0000, 0.0000), Mg at (0.5000, 0.5000, 0.0000) and As at (0.0000, 0.5000, 0.5000).



Entry 9:
VASP calculation (PBE) on a relaxed structure of RbPdSeBr2.

The calculation puts the energy at -13.930 eV per formula unit. For the energy above the most stable polymorph in this dataset, the calculation gives 0.445 eV/atom. The formation energy from raw total energies comes out at -187.8 meV per atom. Its crystal system is tetragonal. Its theoretical density is 4.06 Mg/m³.

The space group is P4/mmm (No. 123) and the conventional cell measures 5.0530, 5.0530 and 6.9056 Å, with angles of 90.00, 90.00 and 90.00 degrees. The distinct sites, in fractional coordinates, are Rb at (0.0000, 0.0000, 0.0000), Pd at (0.0000, 0.0000, 0.5000), Se at (0.5000, 0.5000, 0.0000) and Br at (0.0000, 0.5000, 0.5000).



Entry 10:
VASP calculation (PBE) on a relaxed structure of MoIrSN2.

The calculation puts the energy at -35.135 eV per formula unit. For the energy above the most stable polymorph in this dataset, the calculation gives 0.000 eV/atom. The formation energy from raw total energies comes out at 1067.0 meV per atom. Its crystal system is tetragonal. Its theoretical density is 7.74 Mg/m³.

The space group is P4/mmm (No. 123) and the conventional cell measures 3.8195, 3.8195 and 5.1184 Å, with angles of 90.00, 90.00 and 90.00 degrees. The distinct sites, in fractional coordinates, are Mo at (0.0000, 0.0000, 0.0000), Ir at (0.5000, 0.5000, 0.5000), S at (0.0000, 0.0000, 0.5000) and N at (0.0000, 0.5000, 0.0000).



Entry 11:
VASP calculation (PBE) on a relaxed structure of Hf2Sc2Al3.

The calculation puts the energy at -45.597 eV per formula unit. For the energy above the most stable polymorph in this dataset, the calculation gives 0.000 eV/atom. Its crystal system is monoclinic. Its theoretical density is 6.13 Mg/m³.

The space group is C2/m (No. 12) and the conventional cell measures 11.2993, 3.3792 and 8.1329 Å, with angles of 90.00, 112.84 and 90.00 degrees. The distinct sites, in fractional coordinates, are Hf at (0.1188, 0.0000, 0.4579), Sc at (0.1254, 0.5000, 0.8092), Al at (0.0000, 0.0000, 0.0000) and Al at (0.1700, 0.5000, 0.2064).



Entry 12:
VASP calculation (PBE) on a relaxed structure of Ac4TlRhI2.

The calculation puts the energy at -35.699 eV per formula unit. The formation energy from raw total energies comes out at -805.9 meV per atom. Its crystal system is monoclinic. Its theoretical density is 7.69 Mg/m³.

The space group is P2/m (No. 10) and the conventional cell measures 8.2975, 4.4713 and 8.9522 Å, with angles of 90.00, 107.22 and 90.00 degrees. The distinct sites, in fractional coordinates, are Ac at (0.2151, 0.0000, 0.1906), Ac at (0.2234, 0.5000, 0.8028), Tl at (0.5000, 0.0000, 0.0000), Rh at (0.0000, 0.5000, 0.0000), I at (0.0000, 0.0000, 0.5000) and I at (0.5000, 0.5000, 0.5000).